Entry 1:
The following is a DFT calculation (GGA-PBE) of a relaxed Cd2CuBr crystal.

offset from the most stable computed form = 0.395 eV per atom
E_tot = -6.2 eV/cell
calculated volume = 23.496 Å³ per atom
total moment = 0.000 μB per formula unit
raw formation energy = 0.35 eV per atom

Lattice parameters (Å, degrees): 5.103 5.103 5.103 60.00 60.00 60.00
Fractional positions:
Cd 0.000 0.000 0.000
Cd 0.250 0.250 0.250
Cu 0.750 0.750 0.750
Br 0.500 0.500 0.500


Entry 2:
The following is a DFT calculation (GGA-PBE) of a relaxed Cd2CuBr6 crystal.

E_tot = -43.0 eV/cell
calculated volume = 34.422 Å³ per atom
total moment = 1.005 μB per formula unit
raw formation energy = -0.62 eV per atom

Lattice parameters (Å, degrees): 7.108 10.408 10.408 78.31 63.77 63.77
Each line ends with the local moment (μB).
Fractional positions:
Br 0.874 0.239 0.015  0.11
Br 0.864 0.567 0.705  0.01
Br 0.136 0.433 0.295  0.01
Br 0.636 0.295 0.433  0.01
Br 0.161 0.108 0.655  0.09
Br 0.126 0.761 0.985  0.11
Br 0.839 0.892 0.345  0.09
Br 0.661 0.655 0.108  0.09
Br 0.626 0.985 0.761  0.11
Br 0.374 0.015 0.239  0.11
Br 0.364 0.705 0.567  0.01
Br 0.339 0.345 0.892  0.09
Cu 0.250 0.176 0.824  0.43
Cu 0.750 0.824 0.176  0.43
Cd 0.598 0.814 0.615  0.00
Cd 0.402 0.186 0.385  0.00
Cd 0.098 0.615 0.814  0.00
Cd 0.902 0.385 0.186  0.00


Entry 3:
The following is a DFT calculation (GGA-PBE) of a relaxed CdCuBr3 crystal.

offset from the most stable computed form = 0.426 eV per atom
E_tot = -10.9 eV/cell
calculated volume = 25.978 Å³ per atom
total moment = 0.000 μB per formula unit
raw formation energy = -0.16 eV per atom

Lattice parameters (Å, degrees): 5.064 5.064 5.064 90.00 90.00 90.00
Fractional positions:
Br 0.500 0.000 0.000
Br 0.000 0.500 0.000
Br 0.000 0.000 0.500
Cu 0.000 0.000 0.000
Cd 0.500 0.500 0.500


Entry 4:
The following is a DFT calculation (GGA-PBE) of a relaxed Cd3CuBr crystal.

offset from the most stable computed form = 0.000 eV per atom
E_tot = -8.5 eV/cell
calculated volume = 27.167 Å³ per atom
total moment = 0.000 μB per formula unit
raw formation energy = -0.01 eV per atom

Lattice parameters (Å, degrees): 5.140 5.140 5.140 90.00 90.00 90.00
Fractional positions:
Cd 0.000 0.500 0.000
Cd 0.000 0.000 0.500
Cd 0.500 0.000 0.000
Br 0.500 0.500 0.500
Cu 0.000 0.000 0.000


Entry 5:
The following is a DFT calculation (GGA-PBE) of a relaxed Cd2Cu2Br crystal.

offset from the most stable computed form = 0.000 eV per atom
E_tot = -21.8 eV/cell
calculated volume = 19.681 Å³ per atom
total moment = 0.000 μB per formula unit
raw formation energy = 0.15 eV per atom

Lattice parameters (Å, degrees): 7.730 7.730 3.294 90.00 90.00 90.00
Fractional positions:
Cd 0.821 0.321 0.500
Cd 0.321 0.179 0.500
Cd 0.679 0.821 0.500
Cd 0.179 0.679 0.500
Br 0.500 0.500 0.000
Br 0.000 0.000 0.000
Cu 0.114 0.386 0.000
Cu 0.886 0.614 0.000
Cu 0.614 0.114 0.000
Cu 0.386 0.886 0.000


Entry 6:
The following is a DFT calculation (GGA-PBE) of a relaxed CdCuBr crystal.

offset from the most stable computed form = 0.177 eV per atom
E_tot = -6.4 eV/cell
calculated volume = 21.799 Å³ per atom
total moment = 0.000 μB per formula unit
raw formation energy = 0.08 eV per atom

Lattice parameters (Å, degrees): 6.333 6.333 6.333 149.46 149.46 43.73
Fractional positions:
Br 0.966 0.966 0.000
Cu 0.333 0.333 0.000
Cd 0.701 0.701 0.000


Entry 7:
The following is a DFT calculation (GGA-PBE) of a relaxed Cd2CuBr crystal.

offset from the most stable computed form = 0.007 eV per atom
E_tot = -7.8 eV/cell
calculated volume = 22.296 Å³ per atom
total moment = 0.000 μB per formula unit
raw formation energy = -0.04 eV per atom

Lattice parameters (Å, degrees): 3.368 3.360 7.880 89.82 90.00 90.00
Fractional positions:
Br 0.500 0.750 0.750
Cu 0.500 0.250 0.250
Cd 0.000 0.748 0.448
Cd 0.000 0.752 0.052


Entry 8:
The following is a DFT calculation (GGA-PBE) of a relaxed Cd2CuBr crystal.

offset from the most stable computed form = 0.243 eV per atom
E_tot = -6.8 eV/cell
calculated volume = 23.272 Å³ per atom
total moment = 0.000 μB per formula unit
raw formation energy = 0.19 eV per atom

Lattice parameters (Å, degrees): 3.260 4.680 6.102 90.00 90.00 90.00
Fractional positions:
Br 0.000 0.500 0.500
Cd 0.000 0.000 0.000
Cd 0.500 0.500 0.000
Cu 0.500 0.000 0.500


Entry 9:
The following is a DFT calculation (GGA-PBE) of a relaxed CdCu2Br5 crystal.

E_tot = -21.0 eV/cell
calculated volume = 35.606 Å³ per atom
total moment = 1.104 μB per formula unit
raw formation energy = -0.45 eV per atom

Lattice parameters (Å, degrees): 7.185 6.885 6.890 68.60 68.63 68.66
Each line ends with the local moment (μB).
Fractional positions:
Br 0.659 0.312 0.312  0.05
Br 0.148 0.759 0.310  0.07
Br 0.707 0.916 0.916  0.04
Br 0.443 0.721 0.722  0.13
Br 0.148 0.310 0.760  0.07
Cu 0.481 0.074 0.638  0.31
Cu 0.481 0.638 0.074  0.31
Cd 0.933 0.046 0.046  0.00


Entry 10:
The following is a DFT calculation (GGA-PBE) of a relaxed Cd2CuBr crystal.

offset from the most stable computed form = 0.063 eV per atom
E_tot = -7.5 eV/cell
calculated volume = 21.462 Å³ per atom
total moment = 0.000 μB per formula unit
raw formation energy = 0.01 eV per atom

Lattice parameters (Å, degrees): 3.346 3.346 7.669 90.00 90.00 90.00
Fractional positions:
Cd 0.000 0.000 0.457
Cd 0.000 0.000 0.043
Cu 0.500 0.500 0.250
Br 0.500 0.500 0.750


Entry 11:
The following is a DFT calculation (GGA-PBE) of a relaxed CdCu3Br crystal.

offset from the most stable computed form = 0.057 eV per atom
E_tot = -10.6 eV/cell
calculated volume = 23.700 Å³ per atom
total moment = 0.000 μB per formula unit
raw formation energy = 0.85 eV per atom

Lattice parameters (Å, degrees): 4.912 4.912 4.912 90.00 90.00 90.00
Fractional positions:
Cd 0.000 0.000 0.000
Br 0.500 0.500 0.500
Cu 0.000 0.500 0.000
Cu 0.000 0.000 0.500
Cu 0.500 0.000 0.000


Entry 12:
The following is a DFT calculation (GGA-PBE) of a relaxed Cd2CuBr crystal.

offset from the most stable computed form = 0.162 eV per atom
E_tot = -7.1 eV/cell
calculated volume = 21.906 Å³ per atom
total moment = 0.000 μB per formula unit
raw formation energy = 0.11 eV per atom

Lattice parameters (Å, degrees): 5.207 5.207 3.512 90.05 90.05 113.04
Fractional positions:
Cd 0.500 0.500 0.000
Cd 0.000 0.000 0.000
Cu 0.500 0.000 0.500
Br 0.000 0.500 0.500


Entry 13:
The following is a DFT calculation (GGA-PBE) of a relaxed CdCuBr crystal.

offset from the most stable computed form = 0.077 eV per atom
E_tot = -13.5 eV/cell
calculated volume = 21.845 Å³ per atom
total moment = 0.000 μB per formula unit
raw formation energy = -0.02 eV per atom

Lattice parameters (Å, degrees): 3.618 3.611 11.593 90.00 90.00 120.06
Fractional positions:
Br 0.105 0.210 0.855
Br 0.105 0.210 0.145
Cu 0.442 0.884 0.000
Cu 0.449 0.899 0.500
Cd 0.783 0.565 0.349
Cd 0.783 0.565 0.651


Entry 14:
The following is a DFT calculation (GGA-PBE) of a relaxed Cd2CuBr crystal.

offset from the most stable computed form = 0.105 eV per atom
E_tot = -7.4 eV/cell
calculated volume = 24.043 Å³ per atom
total moment = 0.000 μB per formula unit
raw formation energy = 0.06 eV per atom

Lattice parameters (Å, degrees): 5.819 5.819 5.819 146.48 115.87 74.33
Fractional positions:
Br 0.294 0.794 0.500
Cd 0.990 0.990 0.000
Cd 0.719 0.219 0.500
Cu 0.497 0.497 0.000


Entry 15:
The following is a DFT calculation (GGA-PBE) of a relaxed Cd2CuBr crystal.

offset from the most stable computed form = 0.231 eV per atom
E_tot = -6.9 eV/cell
calculated volume = 23.719 Å³ per atom
total moment = 0.000 μB per formula unit
raw formation energy = 0.18 eV per atom

Lattice parameters (Å, degrees): 6.619 6.619 6.619 145.02 145.02 50.31
Fractional positions:
Br 0.750 0.250 0.500
Cd 0.500 0.500 0.000
Cd 0.000 0.000 0.000
Cu 0.250 0.750 0.500


Entry 16:
The following is a DFT calculation (GGA-PBE) of a relaxed CdCuBr crystal.

offset from the most stable computed form = 0.000 eV per atom
E_tot = -7.0 eV/cell
calculated volume = 22.252 Å³ per atom
total moment = 0.000 μB per formula unit
raw formation energy = -0.10 eV per atom

Lattice parameters (Å, degrees): 3.672 3.672 5.716 90.00 90.00 120.00
Fractional positions:
Br 0.000 0.000 0.940
Cu 0.333 0.667 0.678
Cd 0.667 0.333 0.383


Entry 17:
The following is a DFT calculation (GGA-PBE) of a relaxed CdCu2Br2 crystal.

offset from the most stable computed form = 0.000 eV per atom
E_tot = -11.6 eV/cell
calculated volume = 22.152 Å³ per atom
total moment = 0.000 μB per formula unit
raw formation energy = 0.18 eV per atom

Lattice parameters (Å, degrees): 5.275 5.275 5.455 61.09 61.09 90.00
Fractional positions:
Br 0.750 0.250 0.500
Br 0.250 0.750 0.500
Cu 0.664 0.664 0.671
Cu 0.336 0.336 0.329
Cd 0.000 0.000 0.000


Entry 18:
The following is a DFT calculation (GGA-PBE) of a relaxed CdCuBr3 crystal.

offset from the most stable computed form = 0.000 eV per atom
E_tot = -51.9 eV/cell
calculated volume = 30.866 Å³ per atom
total moment = 0.052 μB per formula unit
raw formation energy = -0.59 eV per atom

Lattice parameters (Å, degrees): 7.480 7.836 10.533 90.00 89.06 90.00
Fractional positions:
Br 0.941 0.740 0.512
Br 0.441 0.760 0.012
Br 0.420 0.539 0.672
Br 0.606 0.049 0.657
Br 0.059 0.260 0.488
Br 0.080 0.039 0.828
Br 0.394 0.951 0.343
Br 0.894 0.549 0.843
Br 0.920 0.961 0.172
Br 0.580 0.461 0.328
Br 0.106 0.451 0.157
Br 0.559 0.240 0.988
Cd 0.420 0.251 0.500
Cd 0.580 0.749 0.500
Cd 0.080 0.751 0.000
Cd 0.920 0.249 0.000
Cu 0.560 0.525 0.884
Cu 0.940 0.025 0.616
Cu 0.440 0.475 0.116
Cu 0.060 0.975 0.384


Entry 19:
The following is a DFT calculation (GGA-PBE) of a relaxed Cd2CuBr crystal.

offset from the most stable computed form = 0.048 eV per atom
E_tot = -7.6 eV/cell
calculated volume = 24.766 Å³ per atom
total moment = 0.000 μB per formula unit
raw formation energy = 0.00 eV per atom

Lattice parameters (Å, degrees): 3.592 4.006 6.885 88.98 90.00 90.00
Fractional positions:
Cd 0.000 0.763 0.058
Cd 0.500 0.251 0.299
Br 0.500 0.745 0.707
Cu 0.000 0.742 0.436


Entry 20:
The following is a DFT calculation (GGA-PBE) of a relaxed Cd2Cu2Br crystal.

offset from the most stable computed form = 0.065 eV per atom
E_tot = -10.6 eV/cell
calculated volume = 21.058 Å³ per atom
total moment = 0.000 μB per formula unit
raw formation energy = 0.22 eV per atom

Lattice parameters (Å, degrees): 4.151 4.151 6.780 72.18 72.18 90.00
Fractional positions:
Cd 0.250 0.750 0.500
Cd 0.750 0.250 0.500
Br 0.000 0.000 0.000
Cu 0.398 0.398 0.203
Cu 0.602 0.602 0.797